RbScTe3Pb | PBE | relaxed

Cell: 9.498 4.381 11.770 Å, 90.00 108.56 90.00°
Positions (direct):
Rb: 0.203 0.250 0.244
Rb: 0.797 0.750 0.756
Sc: 0.371 0.750 0.851
Sc: 0.629 0.250 0.149
Te: 0.141 0.250 0.815
Te: 0.371 0.750 0.594
Te: 0.410 0.750 0.106
Te: 0.590 0.250 0.894
Te: 0.629 0.250 0.406
Te: 0.859 0.750 0.185
Pb: 0.146 0.250 0.565
Pb: 0.854 0.750 0.435

Output
Energy relative to the elements, uncorrected: -0.91 eV per atom
Space-group type: No. 11

***

PaTi2Mo | PBE | relaxed

Cell: 3.899 3.899 4.940 Å, 90.00 90.00 90.00°
Positions (direct):
Pa: 0.000 0.000 0.000
Ti: 0.000 0.500 0.500
Ti: 0.500 0.000 0.500
Mo: 0.500 0.500 0.000

Output
N(E_F): 1.9388 states/eV/atom
Formation enthalpy at 0 K: 0.46 eV per formula unit
Space-group type: No. 123

***

HfPt3F | PBE | relaxed

Cell: 4.378 4.378 4.378 Å, 90.00 90.00 90.00°
Positions (direct):
Hf: 0.000 0.000 0.000
Pt: 0.000 0.500 0.500
Pt: 0.500 0.000 0.500
Pt: 0.500 0.500 0.000
F: 0.500 0.500 0.500

Output
Energy relative to the elements, uncorrected: 0.07 eV per atom
N(E_F): 0.5210 states/eV/atom
Space-group type: No. 221

***

PmPaInGa | PBE | relaxed

Cell: 5.267 5.267 5.267 Å, 60.00 60.00 60.00°
Positions (direct):
Pm: 0.000 0.000 0.000
Pa: 0.500 0.500 0.500
In: 0.250 0.250 0.250
Ga: 0.750 0.750 0.750

Output
N(E_F): 1.9670 states/eV/atom
Formation enthalpy at 0 K: -0.53 eV per formula unit
Space-group type: No. 216

***

CuRhSe2 | PBE | relaxed

Cell: 3.655 3.655 6.371 Å, 106.03 106.03 60.39°
Positions (direct):
Cu: 0.000 0.000 0.000
Rh: 0.500 0.500 0.500
Se: 0.240 0.240 0.737
Se: 0.760 0.760 0.263

Output
Energy relative to the elements, uncorrected: -0.14 eV per atom
N(E_F): 0.6555 states/eV/atom
Space-group type: No. 12

***

MnAs | PBE | relaxed

Cell: 5.831 5.831 5.395 Å, 103.65 103.65 32.80°
Positions (direct):
Mn: 0.000 0.000 0.000
Mn: 0.022 0.022 0.503
Mn: 0.319 0.319 0.658
As: 0.379 0.379 0.210
As: 0.642 0.642 0.829
As: 0.657 0.657 0.343

Output
N(E_F): 0.5390 states/eV/atom
Formation enthalpy at 0 K: 0.14 eV per formula unit
Space-group type: No. 8